# PBE-GGA NaSmAg2, relaxed
# * polymorph energy (0 for the lowest one): 0.006 eV/atom
# * energy relative to the elements: -0.113 eV/atom
data_NaSmAg2
_cell_length_a 5.1343
_cell_length_b 5.1343
_cell_length_c 5.1343
_cell_angle_alpha 60.00
_cell_angle_beta 60.00
_cell_angle_gamma 60.00
_space_group_name_H-M_alt 'P 1'
_space_group_IT_number 1
_space_group_name_Hall 'P 1'
loop_
_atom_site_label
_atom_site_fract_x
_atom_site_fract_y
_atom_site_fract_z
Na1 0.5000 0.5000 0.5000
Ag1 0.2500 0.2500 0.2500
Ag2 0.7500 0.7500 0.7500
Sm1 0.0000 0.0000 0.0000



# PBE-GGA NaSmAg2, relaxed
# * polymorph energy (0 for the lowest one): 0.000 eV/atom
# * energy relative to the elements: -0.119 eV/atom
data_NaSmAg2
_cell_length_a 3.6941
_cell_length_b 3.6941
_cell_length_c 7.3958
_cell_angle_alpha 90.00
_cell_angle_beta 90.00
_cell_angle_gamma 90.00
_space_group_name_H-M_alt 'P 1'
_space_group_IT_number 1
_space_group_name_Hall 'P 1'
loop_
_atom_site_label
_atom_site_fract_x
_atom_site_fract_y
_atom_site_fract_z
Na1 0.5000 0.5000 0.5000
Ag1 0.0000 0.0000 0.7657
Ag2 0.0000 0.0000 0.2343
Sm1 0.5000 0.5000 0.0000



# PBE-GGA Na2SmAg, relaxed
# * energy relative to the elements: 0.210 eV/atom
data_Na2SmAg
_cell_length_a 3.3426
_cell_length_b 3.3426
_cell_length_c 11.8960
_cell_angle_alpha 81.92
_cell_angle_beta 81.92
_cell_angle_gamma 60.00
_space_group_name_H-M_alt 'P 1'
_space_group_IT_number 1
_space_group_name_Hall 'P 1'
loop_
_atom_site_label
_atom_site_fract_x
_atom_site_fract_y
_atom_site_fract_z
Na1 0.0971 0.0971 0.7086
Na2 0.9029 0.9029 0.2914
Ag1 0.5000 0.5000 0.5000
Sm1 0.0000 0.0000 0.0000



# PBE-GGA NaSmAg, relaxed
# * polymorph energy (0 for the lowest one): 0.000 eV/atom
# * energy relative to the elements: 0.028 eV/atom
data_NaSmAg
_cell_length_a 3.5814
_cell_length_b 3.5814
_cell_length_c 7.0919
_cell_angle_alpha 104.63
_cell_angle_beta 104.63
_cell_angle_gamma 90.00
_space_group_name_H-M_alt 'P 1'
_space_group_IT_number 1
_space_group_name_Hall 'P 1'
loop_
_atom_site_label
_atom_site_fract_x
_atom_site_fract_y
_atom_site_fract_z
Na1 0.0246 0.0246 0.0492
Sm1 0.3059 0.3059 0.6119
Ag1 0.6695 0.6695 0.3389



# PBE-GGA NaSm2Ag, relaxed
# * polymorph energy (0 for the lowest one): 0.121 eV/atom
# * energy relative to the elements: 0.147 eV/atom
data_NaSm2Ag
_cell_length_a 3.4749
_cell_length_b 3.4749
_cell_length_c 12.1142
_cell_angle_alpha 81.75
_cell_angle_beta 81.75
_cell_angle_gamma 60.00
_space_group_name_H-M_alt 'P 1'
_space_group_IT_number 1
_space_group_name_Hall 'P 1'
loop_
_atom_site_label
_atom_site_fract_x
_atom_site_fract_y
_atom_site_fract_z
Na1 0.0000 0.0000 0.0000
Ag1 0.5000 0.5000 0.5000
Sm1 0.0984 0.0984 0.7047
Sm2 0.9016 0.9016 0.2953



# PBE-GGA NaSm5Ag4, relaxed
# * energy relative to the elements: -0.154 eV/atom
data_NaSm5Ag4
_cell_length_a 3.6910
_cell_length_b 3.6910
_cell_length_c 20.1722
_cell_angle_alpha 90.00
_cell_angle_beta 90.00
_cell_angle_gamma 90.00
_space_group_name_H-M_alt 'P 1'
_space_group_IT_number 1
_space_group_name_Hall 'P 1'
loop_
_atom_site_label
_atom_site_fract_x
_atom_site_fract_y
_atom_site_fract_z
Na1 0.0000 0.0000 0.0000
Sm1 0.5000 0.5000 0.1321
Sm2 0.5000 0.5000 0.3143
Sm3 0.5000 0.5000 0.5000
Sm4 0.5000 0.5000 0.6857
Sm5 0.5000 0.5000 0.8679
Ag1 0.0000 0.0000 0.2193
Ag2 0.0000 0.0000 0.4074
Ag3 0.0000 0.0000 0.5926
Ag4 0.0000 0.0000 0.7807



# PBE-GGA NaSm4Ag5, relaxed
# * energy relative to the elements: -0.209 eV/atom
data_NaSm4Ag5
_cell_length_a 3.6600
_cell_length_b 3.6600
_cell_length_c 18.8491
_cell_angle_alpha 90.00
_cell_angle_beta 90.00
_cell_angle_gamma 90.00
_space_group_name_H-M_alt 'P 1'
_space_group_IT_number 1
_space_group_name_Hall 'P 1'
loop_
_atom_site_label
_atom_site_fract_x
_atom_site_fract_y
_atom_site_fract_z
Na1 0.0000 0.0000 0.0000
Sm1 0.0000 0.0000 0.1965
Sm2 0.0000 0.0000 0.3992
Sm3 0.0000 0.0000 0.6008
Sm4 0.0000 0.0000 0.8035
Ag1 0.5000 0.5000 0.1005
Ag2 0.5000 0.5000 0.2985
Ag3 0.5000 0.5000 0.5000
Ag4 0.5000 0.5000 0.7015
Ag5 0.5000 0.5000 0.8995



# PBE-GGA NaSm2Ag, relaxed
# * polymorph energy (0 for the lowest one): 0.000 eV/atom
# * energy relative to the elements: 0.026 eV/atom
data_NaSm2Ag
_cell_length_a 3.4887
_cell_length_b 3.4887
_cell_length_c 9.9922
_cell_angle_alpha 90.00
_cell_angle_beta 90.00
_cell_angle_gamma 90.00
_space_group_name_H-M_alt 'P 1'
_space_group_IT_number 1
_space_group_name_Hall 'P 1'
loop_
_atom_site_label
_atom_site_fract_x
_atom_site_fract_y
_atom_site_fract_z
Na1 0.5000 0.5000 0.5000
Ag1 0.5000 0.5000 0.0000
Sm1 0.0000 0.0000 0.7994
Sm2 0.0000 0.0000 0.2006



# PBE-GGA Na2SmAg9, relaxed
# * energy relative to the elements: -0.090 eV/atom
data_Na2SmAg9
_cell_length_a 5.5840
_cell_length_b 5.5840
_cell_length_c 10.0054
_cell_angle_alpha 73.80
_cell_angle_beta 73.80
_cell_angle_gamma 60.00
_space_group_name_H-M_alt 'P 1'
_space_group_IT_number 1
_space_group_name_Hall 'P 1'
loop_
_atom_site_label
_atom_site_fract_x
_atom_site_fract_y
_atom_site_fract_z
Na1 0.8550 0.8550 0.4349
Na2 0.1450 0.1450 0.5651
Sm1 0.0000 0.0000 0.0000
Ag1 0.6674 0.6674 0.9978
Ag2 0.3326 0.3326 0.0022
Ag3 0.5000 0.5000 0.5000
Ag4 0.4163 0.4163 0.2503
Ag5 0.9171 0.4163 0.2503
Ag6 0.4163 0.9171 0.2503
Ag7 0.5837 0.5837 0.7497
Ag8 0.5837 0.0829 0.7497
Ag9 0.0829 0.5837 0.7497



# PBE-GGA NaSmAgSn, relaxed
# * energy relative to the elements: -0.337 eV/atom
data_NaSmAgSn
_cell_length_a 5.2319
_cell_length_b 5.2319
_cell_length_c 5.2319
_cell_angle_alpha 60.00
_cell_angle_beta 60.00
_cell_angle_gamma 60.00
_space_group_name_H-M_alt 'P 1'
_space_group_IT_number 1
_space_group_name_Hall 'P 1'
loop_
_atom_site_label
_atom_site_fract_x
_atom_site_fract_y
_atom_site_fract_z
Ag1 0.7500 0.7500 0.7500
Sn1 0.2500 0.2500 0.2500
Sm1 0.0000 0.0000 0.0000
Na1 0.5000 0.5000 0.5000



# PBE-GGA NaSm2AgTe4, relaxed
# * ΔE_f (raw): -1.0758 eV/atom
data_NaSm2AgTe4
_cell_length_a 4.4831
_cell_length_b 7.7553
_cell_length_c 7.7621
_cell_angle_alpha 69.65
_cell_angle_beta 90.00
_cell_angle_gamma 90.00
_space_group_name_H-M_alt 'P 1'
_space_group_IT_number 1
_space_group_name_Hall 'P 1'
loop_
_atom_site_label
_atom_site_fract_x
_atom_site_fract_y
_atom_site_fract_z
Na1 0.0000 0.5000 0.5000
Sm1 0.0000 0.0000 0.0000
Sm2 0.5000 0.0000 0.5000
Ag1 0.5000 0.5000 0.0000
Te1 0.0000 0.7477 0.7577
Te2 0.0000 0.2523 0.2423
Te3 0.5000 0.7551 0.2485
Te4 0.5000 0.2449 0.7515



# PBE-GGA NaSm3Ag2Te6, relaxed
# * ΔE_f (raw): -1.0141 eV/atom
data_NaSm3Ag2Te6
_cell_length_a 4.5633
_cell_length_b 9.3457
_cell_length_c 10.0716
_cell_angle_alpha 103.92
_cell_angle_beta 103.09
_cell_angle_gamma 90.00
_space_group_name_H-M_alt 'P 1'
_space_group_IT_number 1
_space_group_name_Hall 'P 1'
loop_
_atom_site_label
_atom_site_fract_x
_atom_site_fract_y
_atom_site_fract_z
Na1 0.5000 0.0000 0.0000
Sm1 0.5000 0.5000 0.0000
Sm2 0.8281 0.1572 0.6561
Sm3 0.1719 0.8428 0.3439
Ag1 0.8758 0.5475 0.7516
Ag2 0.1242 0.4525 0.2484
Te1 0.3335 0.9316 0.6669
Te2 0.6752 0.6025 0.3505
Te3 0.6665 0.0684 0.3331
Te4 0.9953 0.2555 0.9906
Te5 0.0047 0.7445 0.0094
Te6 0.3248 0.3975 0.6495